Entry 1:
Compound: Tc2HgAu
Source: Alexandria
Functional: PBE
Structure: optimized geometry

Lattice parameters (Å, degrees): 7.568 7.568 5.271 90.00 90.00 90.00
Fractional positions:
Tc 0.241 0.250 0.125
Tc 0.250 0.741 0.375
Tc 0.250 0.759 0.875
Tc 0.259 0.250 0.625
Tc 0.741 0.750 0.625
Tc 0.750 0.241 0.875
Tc 0.750 0.259 0.375
Tc 0.759 0.750 0.125
Hg 0.000 0.000 0.500
Hg 0.000 0.500 0.750
Hg 0.500 0.000 0.250
Hg 0.500 0.500 0.000
Au 0.000 0.000 0.000
Au 0.000 0.500 0.250
Au 0.500 0.000 0.750
Au 0.500 0.500 0.500

## Properties
E_tot = -80.08 eV/cell
SG = I-42d



Entry 2:
Compound: TcHg2Au
Source: Alexandria
Functional: PBE
Structure: optimized geometry

Lattice parameters (Å, degrees): 2.926 2.926 9.035 90.00 90.00 90.00
Fractional positions:
Tc 0.000 0.000 0.000
Hg 0.000 0.000 0.475
Hg 0.500 0.500 0.767
Au 0.500 0.500 0.212

## Properties
relative energy among the computed polymorphs = 16 meV per atom
E_tot = -12.45 eV/cell
SG = P4mm



Entry 3:
Compound: TcHg2Au
Source: Alexandria
Functional: PBE
Structure: optimized geometry

Lattice parameters (Å, degrees): 2.959 5.199 9.897 90.00 90.00 90.00
Fractional positions:
Tc 0.000 0.000 0.000
Tc 0.500 0.500 0.500
Hg 0.000 0.500 0.255
Hg 0.000 0.500 0.745
Hg 0.500 0.000 0.245
Hg 0.500 0.000 0.755
Au 0.000 0.000 0.500
Au 0.500 0.500 0.000

## Properties
relative energy among the computed polymorphs = 114 meV per atom
E_tot = -24.11 eV/cell
SG = Immm



Entry 4:
Compound: Tc2HgAu
Source: Alexandria
Functional: PBE
Structure: optimized geometry

Lattice parameters (Å, degrees): 5.504 8.718 2.804 90.00 90.00 90.00
Fractional positions:
Tc 0.250 0.250 0.000
Tc 0.250 0.750 0.000
Tc 0.750 0.250 0.000
Tc 0.750 0.750 0.000
Hg 0.000 0.000 0.500
Hg 0.500 0.500 0.500
Au 0.000 0.500 0.500
Au 0.500 0.000 0.500

## Properties
E_tot = -43.53 eV/cell
SG = Cmmm



Entry 5:
Compound: TcHg2Au
Source: Alexandria
Functional: PBE
Structure: optimized geometry

Lattice parameters (Å, degrees): 3.010 5.100 9.932 90.00 90.00 90.00
Fractional positions:
Tc 0.000 0.000 0.000
Tc 0.500 0.500 0.000
Hg 0.000 0.500 0.242
Hg 0.000 0.500 0.758
Hg 0.500 0.000 0.242
Hg 0.500 0.000 0.758
Au 0.000 0.000 0.500
Au 0.500 0.500 0.500

## Properties
relative energy among the computed polymorphs = 50 meV per atom
E_tot = -24.62 eV/cell
SG = Cmmm



Entry 6:
Compound: TcHg2Au
Source: Alexandria
Functional: PBE
Structure: optimized geometry

Lattice parameters (Å, degrees): 4.371 4.371 8.000 90.00 90.00 90.00
Fractional positions:
Tc 0.000 0.000 0.000
Tc 0.500 0.500 0.500
Hg 0.000 0.500 0.250
Hg 0.000 0.500 0.750
Hg 0.500 0.000 0.250
Hg 0.500 0.000 0.750
Au 0.000 0.000 0.500
Au 0.500 0.500 0.000

## Properties
relative energy among the computed polymorphs = 137 meV per atom
E_tot = -23.92 eV/cell
SG = I4/mmm



Entry 7:
Compound: TcHgAu3
Source: Alexandria
Functional: PBE
Structure: optimized geometry

Lattice parameters (Å, degrees): 5.117 5.117 5.117 90.00 90.00 90.00
Fractional positions:
Tc 0.000 0.000 0.000
Hg 0.500 0.500 0.500
Au 0.000 0.000 0.500
Au 0.000 0.500 0.000
Au 0.500 0.000 0.000

## Properties
relative energy among the computed polymorphs = 0 meV per atom
E_tot = -15.21 eV/cell
SG = Pm-3m



Entry 8:
Compound: TcHgAu2
Source: Alexandria
Functional: PBE
Structure: optimized geometry

Lattice parameters (Å, degrees): 2.801 5.115 10.261 90.00 90.00 90.00
Fractional positions:
Tc 0.000 0.000 0.000
Tc 0.500 0.500 0.500
Hg 0.000 0.500 0.254
Hg 0.500 0.000 0.754
Au 0.000 0.000 0.492
Au 0.000 0.500 0.735
Au 0.500 0.000 0.235
Au 0.500 0.500 0.992

## Properties
E_tot = -30.95 eV/cell
SG = Imm2



> Which value of E_tot does entry 3 give?

-24.11 eV/cell